! Cs3Li2CdCl6, relaxed, DFT GGA-PBE; values from VASP
&SYSTEM
  ibrav = 0, nat = 12, ntyp = 4
/
ATOMIC_SPECIES
Cs 132.91 Cs.upf
Li 6.94 Li.upf
Cl 35.45 Cl.upf
Cd 112.41 Cd.upf
CELL_PARAMETERS angstrom
-5.819 4.372 -2.822
-1.409 -5.196 5.653
1.711 6.279 6.198
ATOMIC_POSITIONS crystal
Cs 0.333 0.667 0.634
Li 0.333 0.667 0.238
Li 0.667 0.333 0.762
Cl 0.659 0.829 0.288
Cd 0.000 0.000 0.500
Cl 0.341 0.171 0.712
Cs 0.000 0.000 0.000
Cs 0.667 0.333 0.366
Cl 0.171 0.829 0.288
Cl 0.829 0.659 0.712
Cl 0.171 0.341 0.288
Cl 0.829 0.171 0.712
! Size of the total moment   0.9 μB/cell
! Formation energy without anion corrections   -1572 meV per atom
! Final energy   -3.104 eV/atom